The following is a DFT calculation (PBE) of crystalline Tb3SmDy6Ho2 at its relaxed geometry.

**M_tot**: 0.0 μB per cell
**V**: 379 Å³/f.u.
**Energy of formation**: 15 meV per atom
**Final energy**: -4.600 eV per atom

```
data_Tb3SmDy6Ho2
_symmetry_space_group_name_H-M 'C 1 2/m 1'
_symmetry_Int_Tables_number 12
_cell_length_a 6.149
_cell_length_b 10.640
_cell_length_c 11.763
_cell_angle_alpha 90.00
_cell_angle_beta 99.97
_cell_angle_gamma 90.00
loop_
_symmetry_equiv_pos_as_xyz
'x,y,z'
'-x,-y,-z'
'-x,y,-z'
'x,-y,z'
'x+1/2,y+1/2,z'
'-x+1/2,-y+1/2,-z'
'-x+1/2,y+1/2,-z'
'x+1/2,-y+1/2,z'
loop_
_atom_site_label
_atom_site_type_symbol
_atom_site_fract_x
_atom_site_fract_y
_atom_site_fract_z
Tb1 Tb 0.000 0.000 0.000
Tb2 Tb 0.000 0.333 0.000
Sm1 Sm 0.000 0.500 0.500
Dy1 Dy 0.249 0.167 0.250
Dy2 Dy 0.250 0.000 0.750
Ho1 Ho 0.000 0.167 0.500
```